CdTeAs2, optimized geometry, DFT PBE; theoretical density = 6.77 g/cm3; space group = No. 71; energy relative to the lowest polymorph listed for this composition = 144 kJ/mol of formula units; formation energy without anion corrections = 30.7 kJ/mol of atoms
1.0
-1.175 -4.797 -3.772
3.675 -1.560 -4.762
0.288 1.389 6.051
As Te Cd
2 1 1
direct
0.463 0.463 0.000
0.037 0.037 0.000
0.250 0.750 0.500
0.750 0.250 0.500